No. 1
Density functional theory data (PBE-GGA) for a relaxed structure of NaCaEr.

The structure in CIF format:
```
data_NaCaEr
_space_group_name_H-M_alt 'P 3 m 1'
_space_group_IT_number 156
_cell_length_a 3.6358
_cell_length_b 3.6358
_cell_length_c 9.2945
_cell_angle_alpha 90.00
_cell_angle_beta 90.00
_cell_angle_gamma 120.00
loop_
_space_group_symop_operation_xyz
'x,y,z'
'-y,x-y,z'
'-x+y,-x,z'
'-y,-x,z'
'-x+y,y,z'
'x,x-y,z'
loop_
_atom_site_label
_atom_site_type_symbol
_atom_site_fract_x
_atom_site_fract_y
_atom_site_fract_z
_atom_site_occupancy
Na1 Na 0.0000 0.0000 0.0000 1
Ca1 Ca 0.6667 0.3333 0.3511 1
Er1 Er 0.3333 0.6667 0.6709 1
```

Results
Formation energy   0.187 eV per atom
ΔE to the lowest computed polymorph   130 meV/atom



No. 2
Density functional theory data (PBE-GGA) for a relaxed structure of ZrSb2Rh.

The structure in CIF format:
```
data_ZrSb2Rh
_space_group_name_H-M_alt 'C 1 2/m 1'
_space_group_IT_number 12
_cell_length_a 9.781
_cell_length_b 3.176
_cell_length_c 5.816
_cell_angle_alpha 90.00
_cell_angle_beta 110.46
_cell_angle_gamma 90.00
loop_
_space_group_symop_operation_xyz
'x,y,z'
'-x,-y,-z'
'-x,y,-z'
'x,-y,z'
'x+1/2,y+1/2,z'
'-x+1/2,-y+1/2,-z'
'-x+1/2,y+1/2,-z'
'x+1/2,-y+1/2,z'
loop_
_atom_site_label
_atom_site_type_symbol
_atom_site_fract_x
_atom_site_fract_y
_atom_site_fract_z
_atom_site_occupancy
Zr1 Zr 0.000 0.000 0.000 1
Sb1 Sb 0.225 0.000 0.743 1
Rh1 Rh 0.000 0.500 0.500 1
```

Results
E_form (uncorrected)   -0.27 eV/atom



No. 3
Density functional theory data (PBE-GGA) for a relaxed structure of Ni2TeI.

The structure in CIF format:
```
data_Ni2TeI
_space_group_name_H-M_alt 'F m -3 m'
_space_group_IT_number 225
_space_group_name_Hall '-F 4 2 3'
_cell_length_a 6.704
_cell_length_b 6.704
_cell_length_c 6.704
_cell_angle_alpha 90.00
_cell_angle_beta 90.00
_cell_angle_gamma 90.00
loop_
_atom_site_label
_atom_site_type_symbol
_atom_site_fract_x
_atom_site_fract_y
_atom_site_fract_z
_atom_site_occupancy
Ni1 Ni 0.250 0.250 0.250 1
Te1 Te 0.000 0.000 0.000 1
I1 I 0.000 0.000 0.500 1
```

Results
ΔE to the lowest computed polymorph   643 meV/atom
E_form (uncorrected)   0.59 eV/atom



No. 4
Density functional theory data (PBE-GGA) for a relaxed structure of Cu2SeCl2.

The structure in CIF format:
```
data_Cu2SeCl2
_space_group_name_H-M_alt 'I 4/m m m'
_space_group_IT_number 139
_space_group_name_Hall '-I 4 2'
_cell_length_a 4.322
_cell_length_b 4.322
_cell_length_c 10.347
_cell_angle_alpha 90.00
_cell_angle_beta 90.00
_cell_angle_gamma 90.00
loop_
_atom_site_label
_atom_site_type_symbol
_atom_site_fract_x
_atom_site_fract_y
_atom_site_fract_z
_atom_site_occupancy
Cu1 Cu 0.000 0.000 0.130 1
Se1 Se 0.000 0.000 0.500 1
Cl1 Cl 0.000 0.500 0.250 1
```

Results
ΔE to the lowest computed polymorph   659 meV/atom
E_form (uncorrected)   0.31 eV/atom



No. 5
Density functional theory data (PBE-GGA) for a relaxed structure of ZnReTe2I.

The structure in CIF format:
```
data_ZnReTe2I
_space_group_name_H-M_alt 'P 4/m m m'
_space_group_IT_number 123
_space_group_name_Hall '-P 4 2'
_cell_length_a 5.169
_cell_length_b 5.169
_cell_length_c 5.874
_cell_angle_alpha 90.00
_cell_angle_beta 90.00
_cell_angle_gamma 90.00
loop_
_atom_site_label
_atom_site_type_symbol
_atom_site_fract_x
_atom_site_fract_y
_atom_site_fract_z
_atom_site_occupancy
Zn1 Zn 0.000 0.000 0.000 1
Re1 Re 0.500 0.500 0.500 1
Te1 Te 0.000 0.500 0.500 1
I1 I 0.500 0.500 0.000 1
```

Results
ΔE to the lowest computed polymorph   0 meV/atom
E_form (uncorrected)   0.66 eV/atom